(1)
Density functional theory data (meta-GGA SCAN) for a PBEsol-optimized structure of Ir2OsPb.

Lattice parameters (Å, degrees): 2.841 4.494 5.079 90.00 90.00 90.00
Element x y z (fractional)
1 Ir 0.000 0.000 0.000
2 Ir 0.000 0.500 0.311
3 Os 0.500 0.000 0.439
4 Pb 0.500 0.500 0.799

uncorrected energy: -71.7947 eV/atom
ΔH_f (0 K): 0.67 eV/atom

***

(2)
Density functional theory data (meta-GGA SCAN) for a PBEsol-optimized structure of IrOsPb2.

Lattice parameters (Å, degrees): 4.707 4.707 4.707 60.00 60.00 60.00
Element x y z (fractional)
1 Ir 0.000 0.000 0.000
2 Os 0.500 0.500 0.500
3 Pb 0.250 0.250 0.250
4 Pb 0.750 0.750 0.750

uncorrected energy: -72.6057 eV/atom
ΔH_f (0 K): 1.03 eV/atom
excess energy over the best structure of this formula in the dataset: 47.5 kJ/mol of atoms

***

(3)
Density functional theory data (meta-GGA SCAN) for a PBEsol-optimized structure of IrOsPb2.

Lattice parameters (Å, degrees): 4.450 4.450 7.170 95.44 95.44 38.97
Element x y z (fractional)
1 Ir 0.000 0.000 0.000
2 Os 0.735 0.735 0.124
3 Pb 0.256 0.256 0.758
4 Pb 0.472 0.472 0.371

uncorrected energy: -73.0978 eV/atom
ΔH_f (0 K): 0.54 eV/atom
excess energy over the best structure of this formula in the dataset: 0.0 kJ/mol of atoms

***

(4)
Density functional theory data (meta-GGA SCAN) for a PBEsol-optimized structure of IrOsPbSe2.

Lattice parameters (Å, degrees): 4.896 4.896 4.746 90.00 90.00 90.00
Element x y z (fractional)
1 Ir 0.000 0.000 0.000
2 Os 0.000 0.000 0.500
3 Pb 0.500 0.500 0.500
4 Se 0.000 0.500 0.000
5 Se 0.500 0.000 0.000

uncorrected energy: -50.8164 eV/atom
ΔE_f (raw): 0.967 eV per atom